{
  "formula": "VBO",
  "functional": "GGA+U",
  "state": "optimized geometry",
  "lattice": [[2.942, 0.000, 0.000], [1.471, 4.893, -1.994], [1.471, -4.849, 5.915]],
  "species": ["V", "V", "B", "B", "O", "O"],
  "fractional_positions": [[0.110, 0.487, 0.293], [0.890, 0.513, 0.707], [0.811, 0.116, 0.261], [0.189, 0.884, 0.739], [0.867, 0.938, 0.327], [0.133, 0.062, 0.673]],
  "m_tot_mub_per_fu": 0.76,
  "total_energy_ev_per_atom": -6.994,
  "spacegroup": "C2/m (12)"
}